Entry 1:
# CsGaPb3 GGA-PBE relaxed
data_CsGaPb3
_chemical_formula_sum 'Cs2 Ga2 Pb6'
_space_group_name_H-M_alt 'P 1'
_space_group_IT_number 1
_space_group_name_Hall 'P 1'
_cell_length_a 7.272
_cell_length_b 7.363
_cell_length_c 7.434
_cell_angle_alpha 89.95
_cell_angle_beta 89.96
_cell_angle_gamma 89.97
loop_
_atom_site_label
_atom_site_fract_x
_atom_site_fract_y
_atom_site_fract_z
Cs1 0.000 0.000 0.000
Cs2 0.295 0.501 0.501
Ga1 0.520 0.286 0.003
Ga2 0.775 0.786 0.502
Pb1 0.456 0.670 0.000
Pb2 0.483 0.008 0.287
Pb3 0.485 0.011 0.717
Pb4 0.811 0.508 0.786
Pb5 0.812 0.511 0.215
Pb6 0.840 0.169 0.499
# SG: No. 1

=====

Entry 2:
# CsGa3Pb GGA-PBE relaxed
data_CsGa3Pb
_chemical_formula_sum 'Cs1 Ga3 Pb1'
_space_group_name_H-M_alt 'P 1'
_space_group_IT_number 1
_space_group_name_Hall 'P 1'
_cell_length_a 5.816
_cell_length_b 5.816
_cell_length_c 5.816
_cell_angle_alpha 90.00
_cell_angle_beta 90.00
_cell_angle_gamma 90.00
loop_
_atom_site_label
_atom_site_fract_x
_atom_site_fract_y
_atom_site_fract_z
Cs1 0.000 0.000 0.000
Ga1 0.000 0.500 0.500
Ga2 0.500 0.000 0.500
Ga3 0.500 0.500 0.000
Pb1 0.500 0.500 0.500
# SG: No. 221

=====

Entry 3:
# CsGa3Pb GGA-PBE relaxed
data_CsGa3Pb
_chemical_formula_sum 'Cs1 Ga3 Pb1'
_space_group_name_H-M_alt 'P 1'
_space_group_IT_number 1
_space_group_name_Hall 'P 1'
_cell_length_a 5.881
_cell_length_b 5.881
_cell_length_c 5.881
_cell_angle_alpha 90.00
_cell_angle_beta 90.00
_cell_angle_gamma 90.00
loop_
_atom_site_label
_atom_site_fract_x
_atom_site_fract_y
_atom_site_fract_z
Cs1 0.000 0.000 0.000
Ga1 0.000 0.000 0.500
Ga2 0.000 0.500 0.000
Ga3 0.500 0.000 0.000
Pb1 0.500 0.500 0.500
# SG: No. 221

=====

Magnetization / μB per formula unit: 0.0, 0.0, 0.0
Volume / Å³/f.u.: 199.0, 196.7, 203.4
ΔH_f (0 K) / eV/f.u.: -0.1, 1.7, 5.6